1.
## Er2Mn16W (PBE)

Data for a geometry-optimized Er2Mn16W structure.

Results
The crystal system is trigonal. Its space group is R3m, No. 160.

Lattice parameters (Å, degrees): 6.349 6.349 6.349 86.04 86.04 86.04
Atoms (fractional coordinates):
Mn 0.000 0.000 0.499
Mn 0.723 0.280 0.003
Mn 0.356 0.875 0.356
Mn 0.639 0.639 0.125
Mn 0.125 0.639 0.639
Mn 0.875 0.356 0.356
Mn 0.003 0.280 0.723
Mn 0.356 0.356 0.875
Mn 0.280 0.723 0.003
Mn 0.000 0.499 0.000
Mn 0.639 0.125 0.639
Mn 0.280 0.003 0.723
Mn 0.106 0.106 0.106
Mn 0.003 0.723 0.280
Mn 0.723 0.003 0.280
Mn 0.499 0.000 0.000
Er 0.642 0.642 0.642
Er 0.353 0.353 0.353
W 0.901 0.901 0.901

***

2.
## ErMnW (PBE)

Data for a geometry-optimized ErMnW structure.

Results
The crystal system is tetragonal. Its space group is P4_12_12, No. 92.

Lattice parameters (Å, degrees): 6.517 6.517 5.883 90.00 90.00 90.00
Atoms (fractional coordinates):
Er 0.755 0.755 0.000
Er 0.255 0.745 0.750
Er 0.745 0.255 0.250
Er 0.245 0.245 0.500
Mn 0.450 0.550 0.250
Mn 0.050 0.050 0.000
Mn 0.550 0.450 0.750
Mn 0.950 0.950 0.500
W 0.304 0.304 0.000
W 0.696 0.696 0.500
W 0.196 0.804 0.250
W 0.804 0.196 0.750

***

3.
## YErMn (PBE)

Data for a geometry-optimized YErMn structure.

Results
The crystal system is tetragonal. Its space group is I4mm, No. 107.

Lattice parameters (Å, degrees): 3.473 3.473 6.784 104.83 104.83 90.00
Atoms (fractional coordinates):
Er 0.031 0.031 0.062
Y 0.304 0.304 0.609
Mn 0.665 0.665 0.329

***

| no. | calculated volume (Å³/atom) | energy (eV/atom) | DFT formation energy (eV/f.u.) |
| --- | --- | --- | --- |
| 1 | 13.4 | -8.878 | 0.11 |
| 2 | 20.8 | -8.198 | 2.09 |
| 3 | 25.4 | -6.593 | 0.42 |